# 1
The following is a PBE-GGA calculation of crystalline Zr6Tc5W at its relaxed geometry, from Alexandria via LeMat-Bulk.

Its space group is Immm, No. 71. The formation energy is -249 meV/atom. Its spin magnetization is 0.0 μB per formula unit.

Lattice parameters (Å, degrees): 8.073 8.073 8.073 146.23 131.62 60.30
Element x y z (fractional)
1 Zr 0.079 0.332 0.748
2 Zr 0.246 0.000 0.246
3 Zr 0.416 0.668 0.748
4 Zr 0.584 0.332 0.252
5 Zr 0.754 0.000 0.754
6 Zr 0.921 0.668 0.252
7 Tc 0.000 0.500 0.500
8 Tc 0.167 0.167 0.000
9 Tc 0.336 0.836 0.500
10 Tc 0.664 0.164 0.500
11 Tc 0.833 0.833 0.000
12 W 0.500 0.500 0.000

# 2
The following is a PBE-GGA calculation of crystalline YFe2Ru at its relaxed geometry, from Alexandria via LeMat-Bulk.

Its space group is P4/mmm, No. 123. The formation energy is 243 meV/atom. Its spin magnetization is 5.1 μB per formula unit.

Lattice parameters (Å, degrees): 4.365 4.365 3.305 90.00 90.00 90.00
Element x y z (fractional)
1 Y 0.000 0.000 0.000
2 Fe 0.000 0.500 0.500
3 Fe 0.500 0.000 0.500
4 Ru 0.500 0.500 0.000

> Which value of spin magnetization does entry 1 give?

0.0 μB per formula unit

> Number 2 is which compound?

YFe2Ru

> Look up the spin magnetization of the first one.

0.0 μB per formula unit

Please write out number 2 again, unchanged.
The following is a PBE-GGA calculation of crystalline YFe2Ru at its relaxed geometry, from Alexandria via LeMat-Bulk.

Its space group is P4/mmm, No. 123. The formation energy is 243 meV/atom. Its spin magnetization is 5.1 μB per formula unit.

Lattice parameters (Å, degrees): 4.365 4.365 3.305 90.00 90.00 90.00
Element x y z (fractional)
1 Y 0.000 0.000 0.000
2 Fe 0.000 0.500 0.500
3 Fe 0.500 0.000 0.500
4 Ru 0.500 0.500 0.000